Record 1
DFT (PBE) results for Na3FeH8 after structural relaxation.

## Properties
DOS(E_F) (states/eV/f.u.): 1.7
Uncorrected energy (eV/atom): -3.2842
Symmetry: Pm-3m, No. 221

a b c (Å): 4.8444 4.8444 4.8444
angles (deg): 90.00 90.00 90.00
Atoms (fractional coordinates):
Na: 0.5000 0.5000 0.0000
Na: 0.5000 0.0000 0.5000
Na: 0.0000 0.5000 0.5000
Fe: 0.0000 0.0000 0.0000
H: 0.1865 0.1865 0.8135
H: 0.1865 0.8135 0.1865
H: 0.8135 0.1865 0.1865
H: 0.8135 0.8135 0.8135
H: 0.8135 0.8135 0.1865
H: 0.8135 0.1865 0.8135
H: 0.1865 0.8135 0.8135
H: 0.1865 0.1865 0.1865

***

Record 2
DFT (PBE) results for TbThAs2Rh5 after structural relaxation.

## Properties
DOS(E_F) (states/eV/f.u.): 6.1
Symmetry: P4/mmm, No. 123
Energy relative to the elements (eV per atom): -0.48

a b c (Å): 4.0367 4.0367 11.5530
angles (deg): 90.00 90.00 90.00
Atoms (fractional coordinates):
Tb: 0.5000 0.5000 0.5000
Th: 0.0000 0.0000 0.0000
As: 0.0000 0.0000 0.7051
As: 0.0000 0.0000 0.2949
Rh: 0.0000 0.0000 0.5000
Rh: 0.0000 0.5000 0.1797
Rh: 0.5000 0.0000 0.8203
Rh: 0.0000 0.5000 0.8203
Rh: 0.5000 0.0000 0.1797

***

Record 3
DFT (PBE) results for HfSiNi6 after structural relaxation.

## Properties
DOS(E_F) (states/eV/f.u.): 2.7
Symmetry: Cmmm, No. 65
Energy above the most stable polymorph in this dataset (eV per formula unit): 0.00
Formation energy (no corrections) (meV/atom): -457

a b c (Å): 6.2777 6.2777 10.2691
angles (deg): 90.00 90.00 110.20
Atoms (fractional coordinates):
Hf: 0.7422 0.2578 0.0000
Hf: 0.2578 0.7422 0.0000
Hf: 0.5000 0.5000 0.7471
Hf: 0.5000 0.5000 0.2529
Si: 0.7372 0.2628 0.5000
Si: 0.2628 0.7372 0.5000
Si: 0.0000 0.0000 0.7443
Si: 0.0000 0.0000 0.2557
Ni: 0.7520 0.2480 0.7390
Ni: 0.1155 0.3602 0.8677
Ni: 0.8845 0.6398 0.8677
Ni: 0.2480 0.7520 0.7390
Ni: 0.6398 0.8845 0.8677
Ni: 0.3602 0.1155 0.8677
Ni: 0.5000 0.5000 0.5000
Ni: 0.8866 0.6330 0.6189
Ni: 0.6330 0.8866 0.6189
Ni: 0.7520 0.2480 0.2610
Ni: 0.1134 0.3670 0.3811
Ni: 0.8866 0.6330 0.3811
Ni: 0.2480 0.7520 0.2610
Ni: 0.6330 0.8866 0.3811
Ni: 0.3670 0.1134 0.3811
Ni: 0.5000 0.5000 0.0000
Ni: 0.8845 0.6398 0.1323
Ni: 0.6398 0.8845 0.1323
Ni: 0.0000 0.0000 0.5000
Ni: 0.3670 0.1134 0.6189
Ni: 0.1134 0.3670 0.6189
Ni: 0.0000 0.0000 0.0000
Ni: 0.3602 0.1155 0.1323
Ni: 0.1155 0.3602 0.1323